Entry 1:
This record from the Alexandria database describes Mo3WSe8 at its PBEsol-relaxed geometry. The functional is meta-GGA SCAN.

Properties
SG   P3m1, No. 156
Magnetization   0.00 μB per cell
Calculated volume   242 Å³ per cell
DFT total energy   -28.5699 eV/atom

Cell lengths 3.268, 3.268, 26.197 Å; angles 90.00, 90.00, 120.00 degrees
Element x y z (fractional)
Mo 0.000 0.000 0.999
Mo 0.667 0.333 0.750
Mo 0.667 0.333 0.249
W 0.000 0.000 0.499
Se 0.000 0.000 0.686
Se 0.000 0.000 0.185
Se 0.667 0.333 0.063
Se 0.667 0.333 0.563
Se 0.667 0.333 0.936
Se 0.667 0.333 0.435
Se 0.000 0.000 0.813
Se 0.000 0.000 0.313

***

Entry 2:
This record from the Alexandria database describes MoWSe3 at its PBEsol-relaxed geometry. The functional is meta-GGA SCAN.

Properties
SG   Pm-3m, No. 221
Magnetization   4.93 μB per cell
Calculated volume   116 Å³ per cell
DFT total energy   -32.0696 eV/atom

Cell lengths 4.871, 4.871, 4.871 Å; angles 90.00, 90.00, 90.00 degrees
Each line ends with the local moment (μB).
Element x y z (fractional)
Mo 0.500 0.500 0.500  4.05
Se 0.000 0.500 0.000  -0.07
Se 0.000 0.000 0.500  -0.07
Se 0.500 0.000 0.000  -0.07
W 0.000 0.000 0.000  0.53

***

Entry 3:
This record from the Alexandria database describes YMoSe2 at its PBEsol-relaxed geometry. The functional is meta-GGA SCAN.

Properties
SG   P2/m, No. 10
Magnetization   0.00 μB per cell
Calculated volume   80 Å³ per cell
DFT total energy   -26.2575 eV/atom

Cell lengths 3.449, 4.013, 5.780 Å; angles 90.00, 93.85, 90.00 degrees
Element x y z (fractional)
Mo 0.000 0.500 0.500
Se 0.874 0.000 0.740
Se 0.126 0.000 0.260
Y 0.500 0.500 0.000

***

Entry 4:
This record from the Alexandria database describes Y2MoSe at its PBEsol-relaxed geometry. The functional is meta-GGA SCAN.

Properties
SG   Cmmm, No. 65
Magnetization   0.00 μB per cell
Calculated volume   84 Å³ per cell
DFT total energy   -28.0410 eV/atom

Cell lengths 3.533, 4.874, 4.874 Å; angles 90.16, 90.00, 90.00 degrees
Element x y z (fractional)
Mo 0.500 0.000 0.000
Se 0.500 0.500 0.500
Y 0.000 0.500 0.000
Y 0.000 0.000 0.500

***

Entry 5:
This record from the Alexandria database describes YMoSe2 at its PBEsol-relaxed geometry. The functional is meta-GGA SCAN.

Properties
SG   Cmmm, No. 65
Magnetization   1.08 μB per cell
Calculated volume   71 Å³ per cell
DFT total energy   -26.2409 eV/atom

Cell lengths 3.253, 3.253, 6.753 Å; angles 90.00, 90.00, 90.11 degrees
Each line ends with the local moment (μB).
Element x y z (fractional)
Mo 0.500 0.500 0.000  0.93
Se 0.000 0.000 0.223  -0.03
Se 0.000 0.000 0.777  -0.03
Y 0.500 0.500 0.500  0.12

***

Entry 6:
This record from the Alexandria database describes Y4MoSe at its PBEsol-relaxed geometry. The functional is meta-GGA SCAN.

Properties
SG   F-43m, No. 216
Magnetization   1.56 μB per cell
Calculated volume   149 Å³ per cell
DFT total energy   -26.9554 eV/atom

Cell lengths 5.948, 5.948, 5.948 Å; angles 60.00, 60.00, 60.00 degrees
Each line ends with the local moment (μB).
Element x y z (fractional)
Mo 0.750 0.750 0.750  0.18
Se 0.000 0.000 0.000  -0.03
Y 0.377 0.377 0.377  0.28
Y 0.377 0.377 0.868  0.28
Y 0.868 0.377 0.377  0.28
Y 0.377 0.868 0.377  0.28

***

Entry 7:
This record from the Alexandria database describes ZnMoSe at its PBEsol-relaxed geometry. The functional is meta-GGA SCAN.

Properties
SG   F-43m, No. 216
Magnetization   3.48 μB per cell
Calculated volume   58 Å³ per cell
DFT total energy   -21.9209 eV/atom

Cell lengths 4.333, 4.333, 4.333 Å; angles 60.00, 60.00, 60.00 degrees
Each line ends with the local moment (μB).
Element x y z (fractional)
Mo 0.000 0.000 0.000  3.16
Se 0.500 0.500 0.500  -0.05
Zn 0.250 0.250 0.250  0.05

***

Entry 8:
This record from the Alexandria database describes Zn2MoSe at its PBEsol-relaxed geometry. The functional is meta-GGA SCAN.

Properties
SG   P4mm, No. 99
Magnetization   0.00 μB per cell
Calculated volume   60 Å³ per cell
DFT total energy   -20.4127 eV/atom

Cell lengths 3.279, 3.279, 5.590 Å; angles 90.00, 90.00, 90.00 degrees
Element x y z (fractional)
Mo 0.000 0.000 0.508
Se 0.500 0.500 0.729
Zn 0.000 0.000 0.022
Zn 0.500 0.500 0.241

***

Entry 9:
This record from the Alexandria database describes Zn2MoSe at its PBEsol-relaxed geometry. The functional is meta-GGA SCAN.

Properties
SG   Immm, No. 71
Magnetization   0.00 μB per cell
Calculated volume   60 Å³ per cell
DFT total energy   -20.2000 eV/atom

Cell lengths 3.381, 3.892, 5.232 Å; angles 111.83, 108.85, 90.00 degrees
Element x y z (fractional)
Mo 0.500 0.000 0.000
Se 0.000 0.500 0.000
Zn 0.749 0.749 0.498
Zn 0.251 0.251 0.502

***

Entry 10:
This record from the Alexandria database describes Si2Mo at its PBEsol-relaxed geometry. The functional is meta-GGA SCAN.

Properties
SG   I4/mmm, No. 139
Magnetization   0.00 μB per cell
Calculated volume   40 Å³ per cell
DFT total energy   -18.7692 eV/atom

Cell lengths 3.190, 3.190, 4.513 Å; angles 110.70, 110.70, 90.00 degrees
Element x y z (fractional)
Mo 0.000 0.000 0.000
Si 0.665 0.665 0.330
Si 0.335 0.335 0.670

***

Entry 11:
This record from the Alexandria database describes Si3Mo4 at its PBEsol-relaxed geometry. The functional is meta-GGA SCAN.

Properties
SG   P6/mmm, No. 191
Magnetization   0.00 μB per cell
Calculated volume   96 Å³ per cell
DFT total energy   -24.2613 eV/atom

Cell lengths 4.757, 4.825, 4.825 Å; angles 120.00, 90.00, 90.00 degrees
Element x y z (fractional)
Mo 0.752 0.000 0.000
Mo 0.248 0.000 0.000
Mo 0.500 0.333 0.667
Mo 0.500 0.667 0.333
Si 0.000 0.000 0.500
Si 0.000 0.500 0.000
Si 0.000 0.500 0.500

***

Entry 12:
This record from the Alexandria database describes Si2Mo at its PBEsol-relaxed geometry. The functional is meta-GGA SCAN.

Properties
SG   P6/mmm, No. 191
Magnetization   0.00 μB per cell
Calculated volume   41 Å³ per cell
DFT total energy   -18.0512 eV/atom

Cell lengths 2.560, 4.298, 4.298 Å; angles 120.00, 90.00, 90.00 degrees
Element x y z (fractional)
Mo 0.000 0.000 0.000
Si 0.500 0.667 0.333
Si 0.500 0.333 0.667